No. 1
Entry from Alexandria: a PBEsol-optimized structure of SrTlSb2 (meta-GGA SCAN).

energy relative to the lowest polymorph listed for this composition	5.9	kJ per mole of atoms
formation energy without anion corrections	-176	kJ/mol of formula units
calculated total energy	-170.980	eV per cell
SG	Pmmm

abc: 4.263 4.375 6.573
angles: 90.00 90.00 90.00
Atoms (fractional coordinates):
Tl1 0.500 0.500 0.000
Sb1 0.000 0.000 0.723
Sb2 0.000 0.000 0.277
Sr1 0.500 0.500 0.500

***

No. 2
Entry from Alexandria: a PBEsol-optimized structure of SrTlSb (meta-GGA SCAN).

formation energy without anion corrections	-202	kJ/mol of formula units
calculated total energy	-133.988	eV per cell
SG	P3m1

abc: 4.727 4.727 5.048
angles: 90.00 90.00 120.00
Atoms (fractional coordinates):
Sr1 0.333 0.667 0.669
Sb1 0.000 0.000 0.033
Tl1 0.667 0.333 0.298

***

No. 3
Entry from Alexandria: a PBEsol-optimized structure of SrTlSb2 (meta-GGA SCAN).

energy relative to the lowest polymorph listed for this composition	6.1	kJ per mole of atoms
formation energy without anion corrections	-175	kJ/mol of formula units
calculated total energy	-170.972	eV per cell
SG	Imm2

abc: 4.025 5.345 6.422
angles: 114.59 108.26 90.00
Atoms (fractional coordinates):
Sr1 0.497 0.497 0.995
Sb1 0.015 0.015 0.030
Sb2 0.721 0.221 0.442
Tl1 0.266 0.766 0.533

***

No. 4
Entry from Alexandria: a PBEsol-optimized structure of SrTlSb2 (meta-GGA SCAN).

energy relative to the lowest polymorph listed for this composition	0.0	kJ per mole of atoms
formation energy without anion corrections	-200	kJ/mol of formula units
calculated total energy	-171.223	eV per cell
SG	P4/mmm

abc: 4.825 4.825 4.893
angles: 90.00 90.00 90.00
Atoms (fractional coordinates):
Sb1 0.500 0.000 0.000
Sb2 0.000 0.500 0.000
Tl1 0.000 0.000 0.500
Sr1 0.500 0.500 0.500

***

No. 5
Entry from Alexandria: a PBEsol-optimized structure of SrSb2W (meta-GGA SCAN).

formation energy without anion corrections	108	kJ/mol of formula units
calculated total energy	-330.730	eV per cell
SG	I-42d

abc: 6.624 6.624 6.624
angles: 106.09 106.09 116.46
Atoms (fractional coordinates):
Sb1 0.934 0.875 0.559
Sb2 0.316 0.375 0.441
Sb3 0.625 0.066 0.941
Sb4 0.125 0.684 0.059
W1 0.250 0.750 0.500
W2 0.000 0.000 0.000
Sr1 0.500 0.500 0.000
Sr2 0.750 0.250 0.500

***

No. 6
Entry from Alexandria: a PBEsol-optimized structure of Sr2ZnSb2 (meta-GGA SCAN).

formation energy without anion corrections	-378	kJ/mol of formula units
calculated total energy	-136.504	eV per cell
SG	P-6m2

abc: 4.597 4.597 8.559
angles: 90.00 90.00 120.00
Atoms (fractional coordinates):
Sr1 0.667 0.333 0.718
Sr2 0.667 0.333 0.282
Sb1 0.333 0.667 0.500
Sb2 0.000 0.000 0.000
Zn1 0.333 0.667 0.000

***

No. 7
Entry from Alexandria: a PBEsol-optimized structure of SrZn2Sb2 (meta-GGA SCAN).

formation energy without anion corrections	-257	kJ/mol of formula units
calculated total energy	-126.488	eV per cell
SG	P-3m1

abc: 4.481 4.481 7.601
angles: 90.00 90.00 120.00
Atoms (fractional coordinates):
Sr1 0.000 0.000 0.000
Sb1 0.667 0.333 0.730
Sb2 0.333 0.667 0.270
Zn1 0.667 0.333 0.365
Zn2 0.333 0.667 0.635

***

No. 8
Entry from Alexandria: a PBEsol-optimized structure of SrZnSb2 (meta-GGA SCAN).

formation energy without anion corrections	-242	kJ/mol of formula units
calculated total energy	-451.277	eV per cell
SG	Pnma

abc: 4.365 4.393 22.358
angles: 90.00 90.00 90.00
Atoms (fractional coordinates):
Sb1 0.250 0.225 0.001
Sb2 0.750 0.232 0.176
Sb3 0.250 0.275 0.501
Sb4 0.250 0.768 0.824
Sb5 0.250 0.732 0.324
Sb6 0.750 0.268 0.676
Sb7 0.750 0.725 0.499
Sb8 0.750 0.775 0.999
Sr1 0.750 0.232 0.382
Sr2 0.250 0.768 0.618
Sr3 0.250 0.732 0.118
Sr4 0.750 0.268 0.882
Zn1 0.750 0.731 0.250
Zn2 0.250 0.269 0.750
Zn3 0.750 0.769 0.750
Zn4 0.250 0.231 0.250

***

No. 9
Entry from Alexandria: a PBEsol-optimized structure of Sr2Zr2Sb (meta-GGA SCAN).

formation energy without anion corrections	7	kJ/mol of formula units
calculated total energy	-143.140	eV per cell
SG	I4/mmm

abc: 3.897 3.897 11.080
angles: 100.13 100.13 90.00
Atoms (fractional coordinates):
Zr1 0.250 0.750 0.500
Zr2 0.750 0.250 0.500
Sr1 0.595 0.595 0.191
Sr2 0.405 0.405 0.809
Sb1 0.000 0.000 0.000

***

No. 10
Entry from Alexandria: a PBEsol-optimized structure of SrZrSb2 (meta-GGA SCAN).

energy relative to the lowest polymorph listed for this composition	38.6	kJ per mole of atoms
formation energy without anion corrections	-196	kJ/mol of formula units
calculated total energy	-129.524	eV per cell
SG	P4/mmm

abc: 3.271 5.613 5.613
angles: 90.00 90.00 90.00
Atoms (fractional coordinates):
Zr1 0.500 0.000 0.000
Sr1 0.500 0.500 0.500
Sb1 0.000 0.500 0.000
Sb2 0.000 0.000 0.500

***

No. 11
Entry from Alexandria: a PBEsol-optimized structure of SrZr3Sb (meta-GGA SCAN).

formation energy without anion corrections	815	kJ/mol of formula units
calculated total energy	-143.186	eV per cell
SG	Pm-3m

abc: 5.053 5.053 5.053
angles: 90.00 90.00 90.00
Each line ends with the local moment (μB).
Atoms (fractional coordinates):
Zr1 0.000 0.000 0.500  0.33
Zr2 0.000 0.500 0.000  0.33
Zr3 0.500 0.000 0.000  0.33
Sr1 0.000 0.000 0.000  0.10
Sb1 0.500 0.500 0.500  -0.01

***

No. 12
Entry from Alexandria: a PBEsol-optimized structure of SrZrSb2 (meta-GGA SCAN).

energy relative to the lowest polymorph listed for this composition	33.5	kJ per mole of atoms
formation energy without anion corrections	-216	kJ/mol of formula units
calculated total energy	-129.738	eV per cell
SG	Pm

abc: 3.420 5.440 6.010
angles: 90.00 104.65 90.00
Atoms (fractional coordinates):
Sb1 0.855 0.500 0.336
Sb2 0.990 0.000 0.881
Sr1 0.382 0.000 0.409
Zr1 0.273 0.500 0.874